[1]
Material: PaTl3Ag2O6
Method: DFT, PBE-GGA
State: relaxed Values from VASP.

Geometry as Quantum ESPRESSO input:
```
&SYSTEM
  ibrav = 0, nat = 12, ntyp = 4
/
ATOMIC_SPECIES
Pa 231.04 Pa.upf
Tl 204.38 Tl.upf
Ag 107.87 Ag.upf
O 16.00 O.upf
ATOMIC_POSITIONS crystal
Pa 0.0000 0.0000 0.5000
Tl 0.3333 0.6667 0.7287
Tl 0.6667 0.3333 0.2713
Tl 0.0000 0.0000 0.0000
Ag 0.6667 0.3333 0.7805
Ag 0.3333 0.6667 0.2195
O 0.7116 0.8558 0.2675
O 0.1442 0.2884 0.2675
O 0.1442 0.8558 0.2675
O 0.8558 0.7116 0.7325
O 0.2884 0.1442 0.7325
O 0.8558 0.1442 0.7325
CELL_PARAMETERS angstrom
6.6536 0.0000 0.0000
-3.3268 5.7622 0.0000
0.0000 0.0000 6.1767
```

Results
Size of the total moment, μB/f.u.: 0.00
Formation energy (no corrections), eV per atom: -1.19

[2]
Material: PaTl2AgO6
Method: DFT, PBE-GGA
State: relaxed Values from VASP.

Geometry as Quantum ESPRESSO input:
```
&SYSTEM
  ibrav = 0, nat = 20, ntyp = 4
/
ATOMIC_SPECIES
Pa 231.04 Pa.upf
Tl 204.38 Tl.upf
Ag 107.87 Ag.upf
O 16.00 O.upf
ATOMIC_POSITIONS crystal
Pa 0.2500 0.3385 0.6615
Pa 0.7500 0.6615 0.3385
Tl 0.2624 0.8737 0.5589
Tl 0.2376 0.4411 0.1263
Tl 0.7376 0.1263 0.4411
Tl 0.7624 0.5589 0.8737
Ag 0.2500 0.9585 0.0415
Ag 0.7500 0.0415 0.9585
O 0.0344 0.0884 0.6712
O 0.4656 0.3288 0.9116
O 0.9656 0.9116 0.3288
O 0.5344 0.6712 0.0884
O 0.5037 0.9389 0.3121
O 0.9963 0.6879 0.0611
O 0.4963 0.0611 0.6879
O 0.0037 0.3121 0.9389
O 0.0630 0.6073 0.6189
O 0.4370 0.3811 0.3927
O 0.9370 0.3927 0.3811
O 0.5630 0.6189 0.6073
CELL_PARAMETERS angstrom
5.7202 -0.7943 -0.8243
0.8073 7.1549 0.8686
0.8073 0.6028 7.1821
```

Results
Size of the total moment, μB/f.u.: 0.00
Formation energy (no corrections), eV per atom: -1.45

[3]
Material: Pa3TlAg4O12
Method: DFT, PBE-GGA
State: relaxed Values from VASP.

Geometry as Quantum ESPRESSO input:
```
&SYSTEM
  ibrav = 0, nat = 20, ntyp = 4
/
ATOMIC_SPECIES
Pa 231.04 Pa.upf
Tl 204.38 Tl.upf
Ag 107.87 Ag.upf
O 16.00 O.upf
ATOMIC_POSITIONS crystal
Pa 0.5572 0.4428 0.0000
Pa 0.4428 0.0000 0.5572
Pa 0.0000 0.5572 0.4428
Tl 0.0000 0.0000 0.0000
Ag 0.9103 0.0897 0.5000
Ag 0.0897 0.5000 0.9103
Ag 0.5000 0.9103 0.0897
Ag 0.5000 0.5000 0.5000
O 0.5000 0.3233 0.6767
O 0.8889 0.5000 0.1111
O 0.1111 0.8889 0.5000
O 0.5000 0.1111 0.8889
O 0.3170 0.9921 0.2379
O 0.2379 0.3169 0.9921
O 0.9921 0.2379 0.3170
O 0.6831 0.7621 0.0079
O 0.0079 0.6831 0.7621
O 0.7621 0.0079 0.6831
O 0.6767 0.5000 0.3233
O 0.3233 0.6767 0.5000
CELL_PARAMETERS angstrom
7.3550 -0.2364 -0.3284
-2.0015 7.0813 -0.3284
-2.0015 -2.5592 6.6109
```

Results
Size of the total moment, μB/f.u.: 0.00
Formation energy (no corrections), eV per atom: -1.81

[4]
Material: PaTlAgO5
Method: DFT, PBE-GGA
State: relaxed Values from VASP.

Geometry as Quantum ESPRESSO input:
```
&SYSTEM
  ibrav = 0, nat = 16, ntyp = 4
/
ATOMIC_SPECIES
Pa 231.04 Pa.upf
Tl 204.38 Tl.upf
Ag 107.87 Ag.upf
O 16.00 O.upf
ATOMIC_POSITIONS crystal
Pa 0.0000 0.0000 0.5000
Pa 0.0000 0.0000 0.0000
Tl 0.3316 0.6684 0.2500
Tl 0.6684 0.3316 0.7500
Ag 0.6388 0.3612 0.2500
Ag 0.3612 0.6388 0.7500
O 0.1004 0.8996 0.2500
O 0.8996 0.1004 0.7500
O 0.0053 0.3360 0.1356
O 0.9947 0.6640 0.8644
O 0.6640 0.9947 0.3644
O 0.3360 0.0053 0.6356
O 0.7851 0.5884 0.4943
O 0.2149 0.4116 0.5057
O 0.4116 0.2149 0.0057
O 0.5884 0.7851 0.9943
CELL_PARAMETERS angstrom
-5.8323 0.4471 1.1685
1.8124 -1.5955 -5.4544
0.5998 -7.3263 2.9518
```

Results
Size of the total moment, μB/f.u.: 0.00
Formation energy (no corrections), eV per atom: -1.60

[5]
Material: PaTlAgO6
Method: DFT, PBE-GGA
State: relaxed Values from VASP.

Geometry as Quantum ESPRESSO input:
```
&SYSTEM
  ibrav = 0, nat = 9, ntyp = 4
/
ATOMIC_SPECIES
Pa 231.04 Pa.upf
Tl 204.38 Tl.upf
Ag 107.87 Ag.upf
O 16.00 O.upf
ATOMIC_POSITIONS crystal
Pa 0.0000 0.3333 0.6667
Tl 0.5000 0.6667 0.3333
Ag 0.5000 0.0000 0.0000
O 0.7461 0.6669 0.6828
O 0.7461 0.3172 0.9841
O 0.7461 0.0159 0.3331
O 0.2539 0.3172 0.3331
O 0.2539 0.6669 0.9841
O 0.2539 0.0159 0.6828
CELL_PARAMETERS angstrom
-0.6317 -0.2110 4.7428
5.4740 -0.6023 0.7023
-2.2473 5.0759 -0.0735
```

Results
Size of the total moment, μB/f.u.: 0.88
Formation energy (no corrections), eV per atom: -1.36

[6]
Material: Pa2TlAg2O7
Method: DFT, PBE-GGA
State: relaxed Values from VASP.

Geometry as Quantum ESPRESSO input:
```
&SYSTEM
  ibrav = 0, nat = 12, ntyp = 4
/
ATOMIC_SPECIES
Pa 231.04 Pa.upf
Tl 204.38 Tl.upf
Ag 107.87 Ag.upf
O 16.00 O.upf
ATOMIC_POSITIONS crystal
Pa 0.3930 0.3930 0.7861
Pa 0.6070 0.6069 0.2139
Tl 0.0000 0.0000 0.0000
Ag 0.2735 0.7732 0.5468
Ag 0.7265 0.2268 0.4533
O 0.3918 0.8918 0.7837
O 0.7163 0.7164 0.4326
O 0.1042 0.6041 0.2083
O 0.6082 0.1082 0.2163
O 0.2837 0.2835 0.5674
O 0.8958 0.3958 0.7917
O 0.5000 0.5000 0.0000
CELL_PARAMETERS angstrom
4.3261 -0.0004 -0.0002
-0.0004 4.4598 -0.0002
-2.1634 -2.2301 10.2929
```

Results
Size of the total moment, μB/f.u.: 0.00
Formation energy (no corrections), eV per atom: -2.16

[7]
Material: TmPaAg2O6
Method: DFT, PBE-GGA
State: relaxed Values from VASP.

Geometry as Quantum ESPRESSO input:
```
&SYSTEM
  ibrav = 0, nat = 10, ntyp = 4
/
ATOMIC_SPECIES
Tm 168.93 Tm.upf
Pa 231.04 Pa.upf
Ag 107.87 Ag.upf
O 16.00 O.upf
ATOMIC_POSITIONS crystal
Tm 0.9959 0.9959 0.9959
Pa 0.5079 0.5079 0.5079
Ag 0.1976 0.1976 0.1976
Ag 0.7362 0.7362 0.7362
O 0.3671 0.1425 0.7822
O 0.1425 0.7822 0.3671
O 0.8888 0.2721 0.6102
O 0.6102 0.8888 0.2721
O 0.7822 0.3671 0.1425
O 0.2721 0.6102 0.8888
CELL_PARAMETERS angstrom
-3.8637 -4.2614 2.1627
-1.3727 -5.2404 -2.9014
1.7040 -5.5842 1.9178
```

Results
Size of the total moment, μB/f.u.: 1.94
Formation energy (no corrections), eV per atom: -2.09

[8]
Material: TmPa2AgO8
Method: DFT, PBE-GGA
State: relaxed Values from VASP.

Geometry as Quantum ESPRESSO input:
```
&SYSTEM
  ibrav = 0, nat = 12, ntyp = 4
/
ATOMIC_SPECIES
Tm 168.93 Tm.upf
Pa 231.04 Pa.upf
Ag 107.87 Ag.upf
O 16.00 O.upf
ATOMIC_POSITIONS crystal
Tm 0.0000 0.0000 0.0000
Pa 0.5000 0.5000 0.0000
Pa 0.2500 0.7500 0.5000
Ag 0.7500 0.2500 0.5000
O 0.8785 0.8600 0.2442
O 0.3657 0.3842 0.2442
O 0.6158 0.6341 0.7556
O 0.1398 0.1215 0.7556
O 0.8785 0.3842 0.2444
O 0.3659 0.8602 0.2444
O 0.1400 0.6343 0.7558
O 0.6158 0.1215 0.7558
CELL_PARAMETERS angstrom
5.3775 0.0000 0.0000
0.0000 5.3775 0.0000
-2.6888 -2.6888 5.3927
```

Results
Size of the total moment, μB/f.u.: 0.00
Formation energy (no corrections), eV per atom: -2.80